No. 1
A relaxed structure of La15Mg4In. Source: Alexandria, functional PBE-GGA.

POSCAR file:
```
La15Mg4In
1.0
-2.358 -4.546 -0.084
4.467 -2.334 0.910
-4.207 1.716 25.054
Mg La In
4 15 1
Direct
0.000 0.000 0.600 Mg
0.000 0.000 0.200 Mg
0.000 0.000 0.800 Mg
0.000 0.000 0.400 Mg
0.000 0.500 0.098 La
0.500 0.500 0.800 La
0.000 0.500 0.701 La
0.500 0.500 0.000 La
0.500 0.500 0.601 La
0.500 0.000 0.098 La
0.500 0.000 0.701 La
0.000 0.500 0.902 La
0.500 0.500 0.399 La
0.500 0.000 0.500 La
0.500 0.000 0.299 La
0.000 0.500 0.500 La
0.500 0.500 0.200 La
0.500 0.000 0.902 La
0.000 0.500 0.299 La
0.000 0.000 0.000 In
```

Raw total energy = -4.227 eV/atom
E_form = -0.075 eV per atom

No. 2
A relaxed structure of Hf8Zn2N3. Source: Alexandria, functional PBE-GGA.

POSCAR file:
```
Hf8Zn2N3
1.0
5.766 0.000 0.348
0.000 6.492 0.000
-1.936 -3.246 6.106
Zn Hf N
2 8 3
Direct
0.668 0.748 0.497 Zn
0.332 0.252 0.503 Zn
0.382 0.842 0.185 Hf
0.618 0.158 0.815 Hf
0.618 0.656 0.815 Hf
0.886 0.101 0.203 Hf
0.089 0.403 0.805 Hf
0.382 0.344 0.185 Hf
0.114 0.899 0.797 Hf
0.911 0.597 0.195 Hf
0.500 0.000 0.000 N
0.000 0.235 0.000 N
0.000 0.765 0.000 N
```

Energy relative to the elements, uncorrected = -61.4 kJ/mol of atoms
Raw total energy = -8.879 eV/atom

No. 3
A relaxed structure of Ga2CuSe3. Source: Alexandria, functional PBE-GGA.

POSCAR file:
```
Ga2CuSe3
1.0
-0.309 1.945 3.377
1.050 -7.319 4.310
10.037 0.310 0.740
Se Ga Cu
6 4 2
Direct
0.250 0.544 0.659 Se
0.750 0.973 0.647 Se
0.750 0.456 0.341 Se
0.250 0.027 0.353 Se
0.250 0.190 0.949 Se
0.750 0.810 0.051 Se
0.250 0.340 0.501 Ga
0.750 0.660 0.499 Ga
0.250 0.955 0.131 Ga
0.750 0.045 0.869 Ga
0.250 0.830 0.553 Cu
0.750 0.170 0.447 Cu
```

Energy relative to the elements, uncorrected = -32.6 kJ/mol of atoms
Raw total energy = -3.772 eV/atom

No. 4
A relaxed structure of LaNdAs2Rh5. Source: Alexandria, functional PBE-GGA.

POSCAR file:
```
LaNdAs2Rh5
1.0
4.299 0.000 0.000
0.000 4.299 0.000
0.000 0.000 9.012
Rh Nd As La
5 1 2 1
Direct
0.500 0.000 0.269 Rh
0.500 0.500 0.500 Rh
0.000 0.500 0.731 Rh
0.500 0.000 0.731 Rh
0.000 0.500 0.269 Rh
0.000 0.000 0.500 Nd
0.500 0.500 0.154 As
0.500 0.500 0.846 As
0.000 0.000 0.000 La
```

Raw total energy = -6.976 eV/atom
E_form = -0.781 eV per atom

No. 5
A relaxed structure of ZrScFeAg. Source: Alexandria, functional PBE-GGA.

POSCAR file:
```
ZrScFeAg
1.0
4.681 0.000 0.000
2.340 4.054 0.000
2.340 1.351 3.822
Sc Ag Fe Zr
1 1 1 1
Direct
0.500 0.500 0.500 Sc
0.250 0.250 0.250 Ag
0.750 0.750 0.750 Fe
0.000 0.000 0.000 Zr
```

Raw total energy = -6.604 eV/atom
E_form = -0.056 eV per atom

No. 6
A relaxed structure of SrCa3. Source: Alexandria, functional PBE-GGA.

POSCAR file:
```
SrCa3
1.0
-3.231 -2.347 5.078
0.547 -6.757 -2.776
6.741 -1.022 3.817
Sr Ca
2 6
Direct
0.000 0.750 0.321 Sr
0.000 0.250 0.679 Sr
0.500 0.750 0.566 Ca
0.500 0.500 0.000 Ca
0.500 0.000 0.000 Ca
0.000 0.750 0.837 Ca
0.500 0.250 0.434 Ca
0.000 0.250 0.163 Ca
```

Excess energy over the best structure of this formula in the dataset = 0.083 eV/atom
Raw total energy = -1.825 eV/atom
E_form = 0.097 eV per atom

No. 7
A relaxed structure of KZnSnS3. Source: Alexandria, functional PBE-GGA.

POSCAR file:
```
KZnSnS3
1.0
-3.038 -1.571 -1.821
4.439 -7.935 -0.558
-4.661 -0.463 8.175
S Sn Zn K
6 2 2 2
Direct
0.750 0.445 0.148 S
0.250 0.816 0.488 S
0.250 0.134 0.860 S
0.750 0.866 0.140 S
0.750 0.184 0.512 S
0.250 0.555 0.852 S
0.750 0.345 0.865 Sn
0.250 0.655 0.135 Sn
0.750 0.911 0.397 Zn
0.250 0.089 0.603 Zn
0.750 0.811 0.771 K
0.250 0.189 0.229 K
```

Energy relative to the elements, uncorrected = -69.3 kJ/mol of atoms
Raw total energy = -3.844 eV/atom

No. 8
A relaxed structure of InNiGe2Mo. Source: Alexandria, functional PBE-GGA.

POSCAR file:
```
InNiGe2Mo
1.0
-4.205 1.272 2.604
1.581 -2.366 3.709
2.328 4.217 1.698
In Ge Ni Mo
1 2 1 1
Direct
0.000 0.000 0.000 In
0.000 0.000 0.500 Ge
0.500 0.000 0.000 Ge
0.000 0.500 0.000 Ni
0.500 0.500 0.500 Mo
```

Raw total energy = -4.179 eV/atom
E_form = 1.538 eV per atom

No. 9
A relaxed structure of AcPr6Hg2. Source: Alexandria, functional PBE-GGA.

POSCAR file:
```
AcPr6Hg2
1.0
-1.900 0.773 -3.319
-5.760 -3.833 0.111
-8.650 7.555 4.418
Ac Pr Hg
1 6 2
Direct
0.000 0.000 0.000 Ac
0.687 0.211 0.415 Pr
0.982 0.699 0.337 Pr
0.018 0.301 0.663 Pr
0.689 0.496 0.127 Pr
0.313 0.789 0.585 Pr
0.311 0.504 0.873 Pr
0.651 0.915 0.783 Hg
0.349 0.085 0.217 Hg
```

Excess energy over the best structure of this formula in the dataset = 0.000 eV/atom
Raw total energy = -3.915 eV/atom
E_form = -0.205 eV per atom

No. 10
A relaxed structure of ZnSb2Ru. Source: Alexandria, functional PBE-GGA.

POSCAR file:
```
ZnSb2Ru
1.0
4.608 0.006 0.082
3.375 3.136 0.082
1.671 0.658 6.143
Ru Sb Zn
1 2 1
Direct
0.254 0.254 0.303 Ru
0.003 0.003 0.092 Sb
0.736 0.736 0.652 Sb
0.506 0.506 0.453 Zn
```

Energy relative to the elements, uncorrected = 8.4 kJ/mol of atoms
Raw total energy = -4.611 eV/atom

No. 11
A relaxed structure of SrMg5Tl3. Source: Alexandria, functional PBE-GGA.

POSCAR file:
```
SrMg5Tl3
1.0
4.717 0.000 0.000
-2.359 7.472 0.000
0.000 0.000 14.004
Tl Mg Sr
6 10 2
Direct
0.855 0.710 0.250 Tl
0.145 0.290 0.750 Tl
0.388 0.777 0.923 Tl
0.612 0.223 0.077 Tl
0.612 0.223 0.423 Tl
0.388 0.777 0.577 Tl
0.577 0.154 0.641 Mg
0.805 0.610 0.455 Mg
0.577 0.154 0.859 Mg
0.000 0.000 0.000 Mg
0.805 0.610 0.045 Mg
0.195 0.390 0.955 Mg
0.423 0.846 0.141 Mg
0.000 0.000 0.500 Mg
0.423 0.846 0.359 Mg
0.195 0.390 0.545 Mg
0.161 0.322 0.250 Sr
0.839 0.678 0.750 Sr
```

Raw total energy = -1.977 eV/atom
E_form = -0.116 eV per atom

No. 12
A relaxed structure of Pu2Ga2Rh. Source: Alexandria, functional PBE-GGA.

POSCAR file:
```
Pu2Ga2Rh
1.0
-3.137 -1.288 0.109
-0.067 -3.928 4.445
-4.082 6.053 6.848
Pu Ga Rh
4 4 2
Direct
0.076 0.692 0.157 Pu
0.653 0.418 0.277 Pu
0.924 0.308 0.843 Pu
0.347 0.582 0.723 Pu
0.378 0.152 0.092 Ga
0.622 0.848 0.908 Ga
0.904 0.728 0.465 Ga
0.096 0.272 0.535 Ga
0.331 0.996 0.343 Rh
0.669 0.004 0.657 Rh
```

Excess energy over the best structure of this formula in the dataset = 0.040 eV/atom
Raw total energy = -8.783 eV/atom
E_form = -0.369 eV per atom

No. 13
A relaxed structure of LiHfNiPd. Source: Alexandria, functional PBE-GGA.

POSCAR file:
```
LiHfNiPd
1.0
4.415 0.000 0.000
2.207 3.823 0.000
2.207 1.274 3.605
Ni Li Pd Hf
1 1 1 1
Direct
0.250 0.250 0.250 Ni
0.000 0.000 0.000 Li
0.750 0.750 0.750 Pd
0.500 0.500 0.500 Hf
```

Raw total energy = -6.121 eV/atom
E_form = -0.411 eV per atom

No. 14
A relaxed structure of TmTh4B3Rh12. Source: Alexandria, functional PBE-GGA.

POSCAR file:
```
TmTh4B3Rh12
1.0
-6.284 0.836 -4.280
-0.501 -6.484 4.026
0.631 5.931 4.788
Th Rh Tm B
4 12 1 3
Direct
0.000 0.000 0.500 Th
0.000 0.500 0.000 Th
0.500 0.000 0.000 Th
0.500 0.500 0.500 Th
0.750 0.250 0.500 Rh
0.750 0.500 0.250 Rh
0.720 0.000 0.720 Rh
0.250 0.500 0.750 Rh
0.280 0.280 0.000 Rh
0.000 0.280 0.280 Rh
0.500 0.750 0.250 Rh
0.720 0.720 0.000 Rh
0.500 0.250 0.750 Rh
0.280 0.000 0.280 Rh
0.000 0.720 0.720 Rh
0.250 0.750 0.500 Rh
0.000 0.000 0.000 Tm
0.000 0.500 0.500 B
0.500 0.500 0.000 B
0.500 0.000 0.500 B
```

Raw total energy = -7.793 eV/atom
E_form = -0.673 eV per atom

No. 15
A relaxed structure of Ho4Mg3Sc. Source: Alexandria, functional PBE-GGA.

POSCAR file:
```
Ho4Mg3Sc
1.0
-2.397 -1.736 2.149
-0.856 -2.238 -2.763
11.713 -10.316 4.729
Ho Mg Sc
4 3 1
Direct
0.000 0.000 0.870 Ho
0.000 0.000 0.381 Ho
0.000 0.000 0.130 Ho
0.000 0.000 0.619 Ho
0.500 0.500 0.256 Mg
0.500 0.500 0.500 Mg
0.500 0.500 0.744 Mg
0.500 0.500 0.000 Sc
```

Raw total energy = -3.715 eV/atom
E_form = -0.037 eV per atom

No. 16
A relaxed structure of RbCrCo2Cl8. Source: Alexandria, functional PBE-GGA.

POSCAR file:
```
RbCrCo2Cl8
1.0
6.172 0.000 0.000
3.086 5.345 0.000
3.086 1.782 9.850
Cl Co Cr Rb
8 2 1 1
Direct
0.355 0.732 0.858 Cl
0.055 0.355 0.858 Cl
0.190 0.190 0.431 Cl
0.268 0.945 0.142 Cl
0.645 0.268 0.142 Cl
0.810 0.810 0.569 Cl
0.732 0.055 0.858 Cl
0.945 0.645 0.142 Cl
0.736 0.736 0.792 Co
0.264 0.264 0.208 Co
0.000 0.000 0.000 Cr
0.500 0.500 0.500 Rb
```

Energy relative to the elements, uncorrected = -93.3 kJ/mol of atoms
Raw total energy = -4.265 eV/atom

No. 17
A relaxed structure of RbPmAu. Source: Alexandria, functional PBE-GGA.

POSCAR file:
```
RbPmAu
1.0
-1.567 1.173 3.656
2.895 -2.934 -0.170
11.630 11.398 1.328
Au Pm Rb
2 2 2
Direct
0.284 0.568 0.500 Au
0.605 0.211 0.000 Au
0.618 0.237 0.613 Pm
0.618 0.237 0.387 Pm
0.270 0.541 0.147 Rb
0.270 0.541 0.853 Rb
```

Raw total energy = -3.103 eV/atom
E_form = -0.104 eV per atom

No. 18
A relaxed structure of Ba2Be2PtO6. Source: Alexandria, functional PBE-GGA.

POSCAR file:
```
Ba2Be2PtO6
1.0
5.505 0.000 0.000
2.752 4.767 0.000
2.752 1.589 5.535
Pt O Be Ba
1 6 2 2
Direct
0.000 0.000 0.000 Pt
0.753 0.753 0.229 O
0.247 0.736 0.771 O
0.247 0.247 0.771 O
0.736 0.247 0.771 O
0.264 0.753 0.229 O
0.753 0.264 0.229 O
0.406 0.406 0.783 Be
0.594 0.594 0.217 Be
0.779 0.779 0.664 Ba
0.221 0.221 0.336 Ba
```

Energy relative to the elements, uncorrected = -200.0 kJ/mol of atoms
Raw total energy = -6.354 eV/atom

No. 19
A relaxed structure of Pm2VN. Source: Alexandria, functional PBE-GGA.

POSCAR file:
```
Pm2VN
1.0
-2.824 -1.971 0.013
0.033 -3.044 1.608
-3.644 2.268 8.055
Pm N V
2 1 1
Direct
0.113 0.113 0.660 Pm
0.887 0.887 0.340 Pm
0.500 0.500 0.500 N
0.000 0.000 0.000 V
```

Energy relative to the elements, uncorrected = -6.9 kJ/mol of atoms
Raw total energy = -6.808 eV/atom

No. 20
A relaxed structure of AcThZnCd. Source: Alexandria, functional PBE-GGA.

POSCAR file:
```
AcThZnCd
1.0
-1.561 5.239 -0.291
-5.277 1.246 -0.752
-2.896 2.224 4.079
Ac Cd Zn Th
1 1 1 1
Direct
0.750 0.750 0.750 Ac
0.500 0.500 0.500 Cd
0.000 0.000 0.000 Zn
0.250 0.250 0.250 Th
```

Raw total energy = -3.535 eV/atom
E_form = -0.105 eV per atom

No. 21
A relaxed structure of Sm4ThPd15. Source: Alexandria, functional PBE-GGA.

POSCAR file:
```
Sm4ThPd15
1.0
4.179 0.000 0.000
0.000 4.179 0.000
0.000 0.000 20.930
Pd Sm Th
15 4 1
Direct
0.000 0.500 0.700 Pd
0.500 0.000 0.700 Pd
0.500 0.500 0.200 Pd
0.000 0.500 0.099 Pd
0.500 0.500 0.000 Pd
0.500 0.000 0.099 Pd
0.500 0.000 0.500 Pd
0.500 0.000 0.901 Pd
0.500 0.000 0.300 Pd
0.000 0.500 0.500 Pd
0.500 0.500 0.400 Pd
0.500 0.500 0.600 Pd
0.000 0.500 0.901 Pd
0.000 0.500 0.300 Pd
0.500 0.500 0.800 Pd
0.000 0.000 0.202 Sm
0.000 0.000 0.798 Sm
0.000 0.000 0.600 Sm
0.000 0.000 0.400 Sm
0.000 0.000 0.000 Th
```

Raw total energy = -6.065 eV/atom
E_form = -0.855 eV per atom

No. 22
A relaxed structure of LaCd2Hg4. Source: Alexandria, functional PBE-GGA.

POSCAR file:
```
LaCd2Hg4
1.0
4.874 0.000 1.523
2.199 4.350 1.523
-0.063 -0.039 8.765
Cd Hg La
2 4 1
Direct
0.745 0.745 0.765 Cd
0.255 0.255 0.235 Cd
0.865 0.865 0.404 Hg
0.135 0.135 0.596 Hg
0.608 0.608 0.177 Hg
0.392 0.392 0.823 Hg
0.000 0.000 0.000 La
```

Excess energy over the best structure of this formula in the dataset = 0.000 eV/atom
Raw total energy = -1.375 eV/atom
E_form = -0.237 eV per atom